# 1
EuCuSn: PBEsol geometry, SCAN.

Structure (POSCAR):
```
EuCuSn
1.0
-1.680 2.351 -3.376
-0.132 -3.026 -4.967
-5.915 -1.029 -0.698
Eu Cu Sn
2 2 2
direct
0.443 0.796 0.319
0.557 0.204 0.681
0.850 0.598 0.702
0.150 0.402 0.298
0.828 0.246 0.098
0.172 0.754 0.902
```

Output
theoretical density = 8.29 g/cm³
V = 22.31 Å³ per atom
energy of formation = -465 meV per atom



# 2
Zn2SeBr: PBEsol geometry, SCAN.

Structure (POSCAR):
```
Zn2SeBr
1.0
3.597 0.000 0.000
0.000 3.721 0.000
0.000 0.000 6.628
Zn Se Br
2 1 1
direct
0.000 0.000 0.000
0.000 0.500 0.500
0.500 0.000 0.500
0.500 0.500 0.000
```

Output
theoretical density = 5.42 g/cm³
V = 22.18 Å³ per atom
energy relative to the elements, uncorrected = -0.142 eV per atom
offset from the most stable computed form = 96 meV/atom



# 3
Be2Co: PBEsol geometry, SCAN.

Structure (POSCAR):
```
Be2Co
1.0
-1.828 -3.588 -0.670
-0.135 -1.548 -3.775
2.234 -3.285 -0.940
Be Co
4 2
direct
0.125 0.125 0.125
0.125 0.125 0.625
0.625 0.125 0.125
0.125 0.625 0.125
0.750 0.750 0.750
0.500 0.500 0.500
```

Output
theoretical density = 5.31 g/cm³
V = 8.02 Å³ per atom
energy of formation = -204 meV per atom



# 4
CdFeTe2: PBEsol geometry, SCAN.

Structure (POSCAR):
```
CdFeTe2
1.0
-1.727 -2.791 -0.063
4.133 -0.560 -2.950
1.428 -1.029 6.415
Te Cd Fe
2 1 1
direct
0.082 0.164 0.080
0.247 0.494 0.671
0.447 0.894 0.375
0.724 0.448 0.373
```

Output
theoretical density = 7.22 g/cm³
V = 24.36 Å³ per atom
energy relative to the elements, uncorrected = 0.073 eV per atom